No. 1
{
  "formula": "LaOs2Ru",
  "functional": "PBE",
  "state": "relaxed",
  "lattice_angstrom": [[2.9928, 0.0000, 0.0000], [0.0000, 4.7281, 0.0000], [0.0000, 0.0000, 4.9760]],
  "species": ["La", "Os", "Os", "Ru"],
  "fractional_positions": [[0.0000, 0.0000, 0.0000], [0.0000, 0.5000, 0.5000], [0.5000, 0.0000, 0.5000], [0.5000, 0.5000, 0.0000]],
  "final_energy_ev_per_fu": -34.20,
  "polymorph_energy_mev_per_atom": 293,
  "density_g_cm3": 14.63,
  "e_form_ev_per_fu": 2.463,
  "total_magnetization_mub_per_atom": 0.099
}

---

No. 2
{
  "formula": "LaPmCu2Se4",
  "functional": "PBE",
  "state": "relaxed",
  "lattice_angstrom": [[6.9208, 0.0000, 0.0000], [0.0000, 7.0856, 0.0000], [0.0000, 0.0000, 7.9389]],
  "species": ["La", "La", "Pm", "Pm", "Cu", "Cu", "Cu", "Cu", "Se", "Se", "Se", "Se", "Se", "Se", "Se", "Se"],
  "fractional_positions": [[0.0000, 0.0000, 0.0000], [0.5000, 0.5000, 0.5000], [0.0000, 0.0000, 0.5000], [0.5000, 0.5000, 0.0000], [0.0000, 0.5000, 0.1610], [0.0000, 0.5000, 0.8390], [0.5000, 0.0000, 0.3390], [0.5000, 0.0000, 0.6610], [0.2440, 0.2752, 0.7918], [0.2440, 0.7248, 0.2082], [0.2560, 0.2248, 0.2918], [0.2560, 0.7752, 0.7082], [0.7440, 0.2248, 0.7082], [0.7440, 0.7752, 0.2918], [0.7560, 0.2752, 0.2082], [0.7560, 0.7248, 0.7918]],
  "final_energy_ev_per_fu": -40.90,
  "e_form_raw_mev_per_atom": -1137,
  "density_g_cm3": 6.20,
  "total_magnetization_mub_per_atom": 0.000
}

---

No. 3
{
  "formula": "AcTlPb2O4",
  "functional": "PBE",
  "state": "relaxed",
  "lattice_angstrom": [[4.2387, 0.0000, 0.0000], [0.0000, 4.2387, 0.0000], [0.0000, 0.0000, 9.1759]],
  "species": ["Ac", "Tl", "Pb", "Pb", "O", "O", "O", "O"],
  "fractional_positions": [[0.0000, 0.0000, 0.0000], [0.0000, 0.0000, 0.5000], [0.5000, 0.5000, 0.2726], [0.5000, 0.5000, 0.7274], [0.0000, 0.5000, 0.1681], [0.0000, 0.5000, 0.8319], [0.5000, 0.0000, 0.1681], [0.5000, 0.0000, 0.8319]],
  "final_energy_ev_per_fu": -46.58,
  "e_form_raw_mev_per_atom": -1607,
  "density_g_cm3": 9.16,
  "total_magnetization_mub_per_atom": 0.000
}

---

No. 4
{
  "formula": "YHo3Tl4",
  "functional": "PBE",
  "state": "relaxed",
  "lattice_angstrom": [[3.5314, 0.0000, 0.0000], [0.0000, 7.1736, 0.0000], [0.0000, 0.0000, 18.4032]],
  "species": ["Y", "Y", "Ho", "Ho", "Ho", "Ho", "Ho", "Ho", "Tl", "Tl", "Tl", "Tl", "Tl", "Tl", "Tl", "Tl"],
  "fractional_positions": [[0.0000, 0.0000, 0.0000], [0.5000, 0.5000, 0.5000], [0.0000, 0.0000, 0.5000], [0.0000, 0.5000, 0.2800], [0.0000, 0.5000, 0.7200], [0.5000, 0.0000, 0.2200], [0.5000, 0.0000, 0.7800], [0.5000, 0.5000, 0.0000], [0.0000, 0.2837, 0.1271], [0.0000, 0.2837, 0.8729], [0.0000, 0.7163, 0.1271], [0.0000, 0.7163, 0.8729], [0.5000, 0.2163, 0.3729], [0.5000, 0.2163, 0.6271], [0.5000, 0.7837, 0.3729], [0.5000, 0.7837, 0.6271]],
  "final_energy_ev_per_fu": -31.40,
  "polymorph_energy_mev_per_atom": 124,
  "density_g_cm3": 9.98,
  "e_form_ev_per_fu": -1.738,
  "total_magnetization_mub_per_atom": 0.038
}

---

No. 5
{
  "formula": "Sc3GaN",
  "functional": "PBE",
  "state": "relaxed",
  "lattice_angstrom": [[5.1829, -2.2686, 0.0000], [5.1829, 2.2686, 0.0000], [-3.0803, 0.0000, 7.2607]],
  "species": ["Sc", "Sc", "Sc", "Sc", "Sc", "Sc", "Ga", "Ga", "N", "N"],
  "fractional_positions": [[0.1013, 0.1013, 0.2019], [0.1452, 0.1452, 0.6543], [0.3627, 0.3627, 0.0761], [0.6373, 0.6373, 0.9239], [0.8548, 0.8548, 0.3457], [0.8987, 0.8987, 0.7981], [0.4002, 0.4002, 0.5665], [0.5998, 0.5998, 0.4335], [0.1287, 0.1287, 0.9301], [0.8713, 0.8713, 0.0699]],
  "final_energy_ev_per_fu": -35.34,
  "e_form_raw_mev_per_atom": -998,
  "density_g_cm3": 4.25,
  "total_magnetization_mub_per_atom": 0.000
}

---

No. 6
{
  "formula": "AsSe2",
  "functional": "PBE",
  "state": "relaxed",
  "lattice_angstrom": [[3.8497, 0.0000, 0.0000], [-1.9248, 3.3339, 0.0000], [0.0000, 0.0000, 5.2062]],
  "species": ["As", "Se", "Se"],
  "fractional_positions": [[0.0000, 0.0000, 0.0000], [0.3333, 0.6667, 0.7013], [0.6667, 0.3333, 0.2987]],
  "final_energy_ev_per_fu": -11.54,
  "e_form_raw_mev_per_atom": 26,
  "density_g_cm3": 5.79,
  "total_magnetization_mub_per_atom": 0.000
}

---

No. 7
{
  "formula": "AcLaTb2P4",
  "functional": "PBE",
  "state": "relaxed",
  "lattice_angstrom": [[7.2651, 0.0000, 0.0000], [0.0000, 4.1961, 0.0000], [-2.4179, 0.0000, 6.8621]],
  "species": ["Ac", "La", "Tb", "Tb", "P", "P", "P", "P"],
  "fractional_positions": [[0.0000, 0.0000, 0.0000], [0.5000, 0.5000, 0.0000], [0.0000, 0.5000, 0.5000], [0.5000, 0.0000, 0.5000], [0.2490, 0.0000, 0.7343], [0.2607, 0.5000, 0.2692], [0.7393, 0.5000, 0.7308], [0.7510, 0.0000, 0.2657]],
  "final_energy_ev_per_fu": -52.21,
  "density_g_cm3": 6.41,
  "e_form_ev_per_fu": -12.275,
  "total_magnetization_mub_per_atom": 0.000
}

---

No. 8
{
  "formula": "Pr2Be4Ge3Pt",
  "functional": "PBE",
  "state": "relaxed",
  "lattice_angstrom": [[4.0343, 0.0000, 0.0000], [0.0000, 4.0343, 0.0000], [0.0000, 0.0000, 9.9819]],
  "species": ["Pr", "Pr", "Be", "Be", "Be", "Be", "Ge", "Ge", "Ge", "Pt"],
  "fractional_positions": [[0.0000, 0.5000, 0.2459], [0.5000, 0.0000, 0.7541], [0.0000, 0.0000, 0.0000], [0.0000, 0.5000, 0.6280], [0.5000, 0.0000, 0.3720], [0.5000, 0.5000, 0.0000], [0.0000, 0.5000, 0.8695], [0.5000, 0.0000, 0.1305], [0.5000, 0.5000, 0.5000], [0.0000, 0.0000, 0.5000]],
  "final_energy_ev_per_fu": -49.71,
  "density_g_cm3": 7.47,
  "e_form_ev_per_fu": -5.351,
  "total_magnetization_mub_per_atom": 0.000
}

---

No. 9
{
  "formula": "Mg3Np3RuN8",
  "functional": "PBE",
  "state": "relaxed",
  "lattice_angstrom": [[3.2329, 1.8665, 5.2416], [-3.2329, 1.8665, 5.2416], [0.0000, -3.7331, 5.2416]],
  "species": ["Mg", "Mg", "Mg", "Np", "Np", "Np", "Ru", "N", "N", "N", "N", "N", "N", "N", "N"],
  "fractional_positions": [[0.0000, 0.5000, 0.5000], [0.5000, 0.0000, 0.5000], [0.5000, 0.5000, 0.0000], [0.0000, 0.0000, 0.5000], [0.0000, 0.5000, 0.0000], [0.5000, 0.0000, 0.0000], [0.5000, 0.5000, 0.5000], [0.2514, 0.7376, 0.7376], [0.2529, 0.2529, 0.2529], [0.2624, 0.2624, 0.7486], [0.2624, 0.7486, 0.2624], [0.7376, 0.2514, 0.7376], [0.7376, 0.7375, 0.2514], [0.7471, 0.7471, 0.7471], [0.7486, 0.2625, 0.2624]],
  "final_energy_ev_per_fu": -130.33,
  "e_form_raw_mev_per_atom": -723,
  "density_g_cm3": 8.72,
  "total_magnetization_mub_per_atom": 0.330
}

---

No. 10
{
  "formula": "ZrPtW2",
  "functional": "PBE",
  "state": "relaxed",
  "lattice_angstrom": [[2.8462, 0.0000, 0.0000], [-1.4231, 2.4649, 0.0000], [0.0000, 0.0000, 29.7175]],
  "species": ["Zr", "Zr", "Zr", "Pt", "Pt", "Pt", "W", "W", "W", "W", "W", "W"],
  "fractional_positions": [[0.0000, 0.0000, 0.0000], [0.3333, 0.6667, 0.6667], [0.6667, 0.3333, 0.3333], [0.0000, 0.0000, 0.5000], [0.3333, 0.6667, 0.1667], [0.6667, 0.3333, 0.8333], [0.0000, 0.0000, 0.2433], [0.0000, 0.0000, 0.7567], [0.3333, 0.6667, 0.4234], [0.3333, 0.6667, 0.9100], [0.6667, 0.3333, 0.0900], [0.6667, 0.3333, 0.5766]],
  "final_energy_ev_per_fu": -39.65,
  "polymorph_energy_mev_per_atom": 383,
  "density_g_cm3": 15.63,
  "e_form_ev_per_fu": 0.848,
  "total_magnetization_mub_per_atom": 0.000
}

---

No. 11
{
  "formula": "MnCdSi2",
  "functional": "PBE",
  "state": "relaxed",
  "lattice_angstrom": [[7.6924, 0.0000, 0.0000], [0.0000, 3.1197, 0.0000], [-3.0977, 0.0000, 5.2098]],
  "species": ["Mn", "Mn", "Cd", "Cd", "Si", "Si", "Si", "Si"],
  "fractional_positions": [[0.0000, 0.0000, 0.0000], [0.5000, 0.5000, 0.0000], [0.2523, 0.5000, 0.4724], [0.7523, 0.0000, 0.4724], [0.1234, 0.5000, 0.8158], [0.3508, 0.0000, 0.1486], [0.6234, 0.0000, 0.8158], [0.8508, 0.5000, 0.1486]],
  "final_energy_ev_per_fu": -20.66,
  "e_form_raw_mev_per_atom": 67,
  "density_g_cm3": 5.94,
  "total_magnetization_mub_per_atom": 0.000
}

---

Number 1: volume 70 Å³/cell. Number 2: volume 389 Å³/cell. Number 3: volume 165 Å³/cell. Number 4: volume 466 Å³/cell. Number 5: volume 171 Å³/cell. Number 6: volume 67 Å³/cell. Number 7: volume 209 Å³/cell. Number 8: volume 162 Å³/cell. Number 9: volume 190 Å³/cell. Number 10: volume 208 Å³/cell. Number 11: volume 125 Å³/cell.